No. 1
# GGA-PBE K2NaS2O6, optimized geometry
# Calculated density = 2.143 Mg/m³
# ΔE_f (raw) = -36.675 kcal/mol of atoms
# Total moment = 0.086 μB per atom
# Total energy = -177.037 eV for the cell shown
# N(E_F) = 4.6 states/eV/cell
data_K2NaS2O6
_chemical_formula_sum 'K6 Na3 S6 O18'
_space_group_name_H-M_alt 'R -3 m'
_space_group_IT_number 166
_space_group_name_Hall '-R 3 2"'
_cell_length_a 5.8785
_cell_length_b 5.8785
_cell_length_c 20.2976
_cell_angle_alpha 90.00
_cell_angle_beta 90.00
_cell_angle_gamma 120.00
loop_
_atom_site_label
_atom_site_type_symbol
_atom_site_fract_x
_atom_site_fract_y
_atom_site_fract_z
K1 K 0.0000 0.0000 0.2379
Na1 Na 0.0000 0.0000 0.5000
S1 S 0.0000 0.0000 0.0727
O1 O 0.0535 0.5268 0.7651

---

No. 2
# GGA-PBE LiNd2P3Rh12, optimized geometry
# Calculated density = 9.182 Mg/m³
# Total moment = 0.000 μB per atom
# Formation energy = -0.27 eV/atom
# Total energy = -362.156 eV for the cell shown
# N(E_F) = 45.6 states/eV/cell
data_LiNd2P3Rh12
_chemical_formula_sum 'Li3 Nd6 P9 Rh36'
_space_group_name_H-M_alt 'R -3 m'
_space_group_IT_number 166
_space_group_name_Hall '-R 3 2"'
_cell_length_a 8.8565
_cell_length_b 8.8565
_cell_length_c 12.9648
_cell_angle_alpha 90.00
_cell_angle_beta 90.00
_cell_angle_gamma 120.00
loop_
_atom_site_label
_atom_site_type_symbol
_atom_site_fract_x
_atom_site_fract_y
_atom_site_fract_z
Li1 Li 0.0000 0.0000 0.0000
Nd1 Nd 0.0000 0.0000 0.3741
P1 P 0.0000 0.5000 0.5000
Rh1 Rh 0.0043 0.5022 0.6722
Rh2 Rh 0.0310 0.5155 0.8799

---

No. 3
# GGA-PBE HoFeCo10, optimized geometry
# Calculated density = 8.580 Mg/m³
# Total moment = 1.595 μB per atom
# Formation energy = 0.08 eV/atom
# Total energy = -83.159 eV for the cell shown
# N(E_F) = 14.1 states/eV/cell
data_HoFeCo10
_chemical_formula_sum 'Ho1 Fe1 Co10'
_space_group_name_H-M_alt 'P m m m'
_space_group_IT_number 47
_cell_length_a 4.023
_cell_length_b 4.716
_cell_length_c 8.264
_cell_angle_alpha 90.00
_cell_angle_beta 90.00
_cell_angle_gamma 90.00
loop_
_space_group_symop_operation_xyz
'x,y,z'
'-x,-y,-z'
'-x,-y,z'
'x,y,-z'
'x,-y,-z'
'-x,y,z'
'-x,y,-z'
'x,-y,z'
loop_
_atom_site_label
_atom_site_type_symbol
_atom_site_fract_x
_atom_site_fract_y
_atom_site_fract_z
Ho1 Ho 0.000 0.000 0.000
Fe1 Fe 0.000 0.500 0.500
Co1 Co 0.000 0.000 0.350
Co2 Co 0.000 0.500 0.200
Co3 Co 0.500 0.000 0.500
Co4 Co 0.500 0.252 0.255
Co5 Co 0.500 0.500 0.000

---

No. 4
# GGA-PBE AcLaInAg, optimized geometry
# Calculated density = 7.848 Mg/m³
# Total moment = 0.001 μB per atom
# Formation energy = -0.36 eV/atom
# Total energy = -16.062 eV for the cell shown
# N(E_F) = 4.6 states/eV/cell
data_AcLaInAg
_chemical_formula_sum 'Ac1 La1 In1 Ag1'
_space_group_name_H-M_alt 'P 4 m m'
_space_group_IT_number 99
_cell_length_a 3.906
_cell_length_b 3.906
_cell_length_c 8.162
_cell_angle_alpha 90.00
_cell_angle_beta 90.00
_cell_angle_gamma 90.00
loop_
_space_group_symop_operation_xyz
'x,y,z'
'-y,x,z'
'-x,-y,z'
'y,-x,z'
'-x,y,z'
'y,x,z'
'x,-y,z'
'-y,-x,z'
loop_
_atom_site_label
_atom_site_type_symbol
_atom_site_fract_x
_atom_site_fract_y
_atom_site_fract_z
Ac1 Ac 0.000 0.000 0.000
La1 La 0.000 0.000 0.518
In1 In 0.500 0.500 0.272
Ag1 Ag 0.500 0.500 0.745

---

Question: Which of these has the lowest total energy?
Answer: LiNd2P3Rh12

---

Question: Which value of N(E_F) does entry 3 give?
Answer: 14.1 states/eV/cell

---

Question: Which of these has the lowest calculated density?
Answer: K2NaS2O6